TcBi2Mo | GGA-PBE | relaxed

Cell: 6.815 6.815 6.815 Å, 90.00 90.00 90.00°
Space group Fm-3m (No. 225)
One atom of each set of equivalent atoms:
Tc (0.000, 0.000, 0.000) x4
Bi (0.250, 0.250, 0.250) x8
Mo (0.000, 0.000, 0.500) x4

## Properties
Fermi-level density of states = 19.033 states/eV/cell
DFT formation energy = 689.4 meV per atom
Calculated total energy = -104.81 eV for the cell shown
Total magnetic moment = 0.00 μB/atom
Distance to the lowest polymorph of the same formula = 0 meV per atom

=====

TlSe3I | GGA-PBE | relaxed

Cell: 5.488 5.488 5.488 Å, 90.00 90.00 90.00°
Space group Pm-3m (No. 221)
One atom of each set of equivalent atoms:
Tl (0.000, 0.000, 0.000) x1
Se (0.000, 0.500, 0.500) x3
I (0.500, 0.500, 0.500) x1

## Properties
Fermi-level density of states = 2.834 states/eV/cell
Calculated total energy = -12.30 eV for the cell shown
Total magnetic moment = 0.00 μB/atom

=====

Zn2FeRe | GGA-PBE | relaxed

Cell: 3.147 4.150 8.484 Å, 90.00 90.00 90.00°
Space group Cmmm (No. 65)
One atom of each set of equivalent atoms:
Zn (0.000, 0.000, 0.238) x4
Fe (0.000, 0.500, 0.000) x2
Re (0.000, 0.500, 0.500) x2

## Properties
Fermi-level density of states = 6.267 states/eV/cell
DFT formation energy = 172.3 meV per atom
Calculated total energy = -45.54 eV for the cell shown
Total magnetic moment = 0.67 μB/atom
Distance to the lowest polymorph of the same formula = 127 meV per atom

=====

LaHo4Al5 | GGA-PBE | relaxed

Cell: 3.623 3.623 18.165 Å, 90.00 90.00 90.00°
Space group P4/mmm (No. 123)
One atom of each set of equivalent atoms:
La (0.000, 0.000, 0.000) x1
Ho (0.000, 0.000, 0.209) x2
Ho (0.000, 0.000, 0.403) x2
Al (0.500, 0.500, 0.114) x2
Al (0.500, 0.500, 0.306) x2
Al (0.500, 0.500, 0.500) x1

## Properties
Fermi-level density of states = 4.221 states/eV/cell
DFT formation energy = -389.1 meV per atom
Calculated total energy = -45.84 eV for the cell shown
Total magnetic moment = 0.00 μB/atom

=====

Ba2LiNi | GGA-PBE | relaxed

Cell: 7.719 7.719 7.719 Å, 90.00 90.00 90.00°
Space group F-43m (No. 216)
One atom of each set of equivalent atoms:
Ba (0.000, 0.000, 0.000) x4
Ba (0.250, 0.250, 0.250) x4
Li (0.250, 0.250, 0.750) x4
Ni (0.000, 0.000, 0.500) x4

## Properties
Fermi-level density of states = 16.522 states/eV/cell
DFT formation energy = 351.1 meV per atom
Calculated total energy = -40.55 eV for the cell shown
Total magnetic moment = 0.00 μB/atom

=====

CaCuF3 | GGA-PBE | relaxed

Cell: 4.383 4.383 4.383 Å, 90.00 90.00 90.00°
Space group Pm-3m (No. 221)
One atom of each set of equivalent atoms:
Ca (0.000, 0.000, 0.000) x1
Cu (0.500, 0.500, 0.500) x1
F (0.000, 0.000, 0.500) x3

## Properties
Fermi-level density of states = 0.000 states/eV/cell
Calculated total energy = -23.30 eV for the cell shown
Total magnetic moment = 0.00 μB/atom
Distance to the lowest polymorph of the same formula = 0 meV per atom